[1]
NaSi2Pd2 | PBE | relaxed

Energy relative to the lowest polymorph listed for this composition, eV per atom: 0.1601
Spin magnetization, μB per formula unit: 0.00
DOS(E_F), states/eV/f.u.: 1.66
Uncorrected energy, eV per cell: -48.31

Lattice parameters (Å, degrees): 3.9793 3.9793 11.3044 90.00 90.00 90.00
With the nearest neighbours (Å) after each atom.
Space group I4/mmm (No. 139)
One atom of each set of equivalent atoms:
Na  0.0000  0.0000  0.0000 x2  8 Pd 3.16, 8 Si 3.46
Si  0.0000  0.5000  0.2500 x4  4 Pd 2.43
Pd  0.0000  0.0000  0.3729 x4  4 Si 2.43



[2]
NaSiPd2 | PBE | relaxed

Spin magnetization, μB per formula unit: 0.00
DOS(E_F), states/eV/f.u.: 1.24
Uncorrected energy, eV per cell: -37.78

Lattice parameters (Å, degrees): 4.0557 5.6115 6.6320 90.00 90.00 90.00
With the nearest neighbours (Å) after each atom.
Space group Pmmn (No. 59, origin choice 2)
One atom of each set of equivalent atoms:
Na  0.2500  0.2500  0.0793 x2  6 Pd 3.09-3.17, 2 Si 3.32
Si  0.2500  0.7500  0.3459 x2  6 Pd 2.44-2.47
Pd  0.2500  0.0090  0.6469 x4  3 Si 2.44-2.47, 1 Pd 2.70